Material: Cd2SnCl8
Method: DFT, PBE
State: relaxed

- Raw total energy: -30.9 eV per formula unit

Cell lengths 6.080, 6.080, 17.032 Å; angles 90.00, 90.00, 90.00 degrees
Space group I-4 (No. 82)
Asymmetric unit:
1 Cd 0.000 0.000 0.239 [4 per cell]
2 Sn 0.000 0.000 0.000 [2 per cell]
3 Cl 0.227 0.235 0.070 [8 per cell]
4 Cl 0.234 0.761 0.674 [8 per cell]